No. 1
ErSc4Os2, relaxed, DFT GGA-PBE; DFT formation energy = -0.29 eV/atom; raw total energy = -7.771 eV/atom
1.0
7.3636 0.0000 0.0000
0.0000 5.8415 0.0000
-2.8022 0.0000 7.0432
Er Sc Os
2 8 4
Direct
0.0152 0.2500 0.1567
0.9848 0.7500 0.8433
0.2383 0.5008 0.5799
0.2383 0.9992 0.5799
0.3331 0.7500 0.2582
0.3867 0.2500 0.0209
0.6133 0.7500 0.9791
0.6669 0.2500 0.7418
0.7617 0.0008 0.4201
0.7617 0.4992 0.4201
0.0304 0.2500 0.7463
0.4236 0.2500 0.3775
0.5764 0.7500 0.6225
0.9696 0.7500 0.2537



No. 2
Er3Sc2Os2, relaxed, DFT GGA-PBE; DFT formation energy = -0.28 eV/atom; raw total energy = -7.251 eV/atom
1.0
11.6628 0.0000 0.0000
0.0000 3.8136 0.0000
-2.9496 0.0000 7.4433
Er Sc Os
6 4 4
Direct
0.0000 0.0000 0.0000
0.1232 0.0000 0.4367
0.3768 0.5000 0.5633
0.5000 0.5000 0.0000
0.6232 0.5000 0.4367
0.8768 0.0000 0.5633
0.1726 0.5000 0.8284
0.3274 0.0000 0.1716
0.6726 0.0000 0.8284
0.8274 0.5000 0.1716
0.1836 0.5000 0.2117
0.3164 0.0000 0.7883
0.6836 0.0000 0.2117
0.8164 0.5000 0.7883



No. 3
Er2ScOs, relaxed, DFT GGA-PBE; ΔE to the lowest computed polymorph = 0.000 eV/atom; DFT formation energy = -0.31 eV/atom; raw total energy = -6.980 eV/atom
1.0
7.1373 0.0000 0.0000
0.0000 8.8454 0.0000
0.0000 0.0000 6.1876
Er Sc Os
8 4 4
Direct
0.1769 0.0605 0.1730
0.1769 0.4395 0.1730
0.3231 0.5605 0.6730
0.3231 0.9395 0.6730
0.6769 0.0605 0.3270
0.6769 0.4395 0.3270
0.8231 0.5605 0.8270
0.8231 0.9395 0.8270
0.0408 0.2500 0.6281
0.4592 0.7500 0.1281
0.5408 0.2500 0.8719
0.9592 0.7500 0.3719
0.1184 0.7500 0.9809
0.3816 0.2500 0.4809
0.6184 0.7500 0.5191
0.8816 0.2500 0.0191



No. 4
TbErScOs, relaxed, DFT GGA-PBE; DFT formation energy = 0.00 eV/atom; raw total energy = -6.691 eV/atom
1.0
7.0902 0.0000 0.0000
0.0000 7.0902 0.0000
0.0000 0.0000 7.0902
Tb Er Sc Os
4 4 4 4
Direct
0.0000 0.0000 0.0000
0.0000 0.5000 0.5000
0.5000 0.0000 0.5000
0.5000 0.5000 0.0000
0.0000 0.0000 0.5000
0.0000 0.5000 0.0000
0.5000 0.0000 0.0000
0.5000 0.5000 0.5000
0.2500 0.2500 0.2500
0.2500 0.7500 0.7500
0.7500 0.2500 0.7500
0.7500 0.7500 0.2500
0.2500 0.2500 0.7500
0.2500 0.7500 0.2500
0.7500 0.2500 0.2500
0.7500 0.7500 0.7500